# 1
SrLa5Pb6: relaxed, GGA-PBE.

```
data_SrLa5Pb6
_cell_length_a 5.2449
_cell_length_b 9.2581
_cell_length_c 15.8767
_cell_angle_alpha 90.00
_cell_angle_beta 90.00
_cell_angle_gamma 90.00
_space_group_name_H-M_alt 'I m m m'
_space_group_IT_number 71
_space_group_name_Hall '-I 2 2'
loop_
_atom_site_label
_atom_site_fract_x
_atom_site_fract_y
_atom_site_fract_z
_atom_site_occupancy
Sr1 0.0000 0.0000 0.0000 1
La1 0.0000 0.0000 0.3349 1
La2 0.0000 0.5000 0.0000 1
La3 0.0000 0.5000 0.3339 1
Pb1 0.0000 0.2489 0.5000 1
Pb2 0.0000 0.2506 0.1682 1
```

Values from the calculation:
- Uncorrected energy: -4.611 eV/atom
- Crystal system: orthorhombic
- Formation energy from the elements: -54.3 kJ/mol of atoms

---

# 2
SrLaPb2: relaxed, GGA-PBE.

```
data_SrLaPb2
_cell_length_a 8.9165
_cell_length_b 8.9165
_cell_length_c 7.3186
_cell_angle_alpha 90.00
_cell_angle_beta 90.00
_cell_angle_gamma 90.00
_space_group_name_H-M_alt 'I -4 2 d'
_space_group_IT_number 122
_space_group_name_Hall 'I -4 2bw'
loop_
_atom_site_label
_atom_site_fract_x
_atom_site_fract_y
_atom_site_fract_z
_atom_site_occupancy
Sr1 0.0000 0.0000 0.0000 1
La1 0.0000 0.0000 0.5000 1
Pb1 0.2471 0.2500 0.6250 1
```

Values from the calculation:
- Uncorrected energy: -3.773 eV/atom
- Crystal system: tetragonal
- Formation energy from the elements: -25.7 kJ/mol of atoms

---

# 3
SrLaPb2: relaxed, GGA-PBE.

```
data_SrLaPb2
_cell_length_a 4.8133
_cell_length_b 4.8133
_cell_length_c 11.5483
_cell_angle_alpha 90.00
_cell_angle_beta 90.00
_cell_angle_gamma 90.00
_space_group_name_H-M_alt 'I -4 m 2'
_space_group_IT_number 119
_space_group_name_Hall 'I -4 -2'
loop_
_atom_site_label
_atom_site_fract_x
_atom_site_fract_y
_atom_site_fract_z
_atom_site_occupancy
Sr1 0.0000 0.0000 0.0000 1
La1 0.0000 0.5000 0.7500 1
Pb1 0.0000 0.0000 0.5000 1
Pb2 0.0000 0.5000 0.2500 1
```

Values from the calculation:
- Uncorrected energy: -3.961 eV/atom
- Crystal system: tetragonal
- Formation energy from the elements: -43.9 kJ/mol of atoms

---

# 4
SrLa2Pb2: relaxed, GGA-PBE.

```
data_SrLa2Pb2
_cell_length_a 9.3864
_cell_length_b 9.3864
_cell_length_c 4.0454
_cell_angle_alpha 90.00
_cell_angle_beta 90.00
_cell_angle_gamma 90.00
_space_group_name_H-M_alt 'P 4/m b m'
_space_group_IT_number 127
_space_group_name_Hall '-P 4 2ab'
loop_
_atom_site_label
_atom_site_fract_x
_atom_site_fract_y
_atom_site_fract_z
_atom_site_occupancy
Sr1 0.0000 0.0000 0.0000 1
La1 0.1324 0.3676 0.5000 1
Pb1 0.1669 0.6669 0.0000 1
```

Values from the calculation:
- Uncorrected energy: -4.324 eV/atom
- Crystal system: tetragonal
- Formation energy from the elements: -51.4 kJ/mol of atoms